Record 1
A plane-wave DFT calculation with PBEsol was carried out for a relaxed TmCo3P2 crystal.

```
TmCo3P2
1.0
3.6125 0.0000 0.0000
0.0000 10.3384 0.0000
0.0000 0.0000 11.9602
Tm Co P
6 18 12
Cartesian
1.8063 0.0000 5.7045 Tm
1.8063 8.4537 2.4629 Tm
1.8063 1.8848 2.4629 Tm
0.0000 3.2844 9.4973 Tm
0.0000 5.1692 6.2557 Tm
0.0000 7.0540 9.4973 Tm
0.0000 1.7247 0.0654 Co
0.0000 8.6138 0.0654 Co
0.0000 3.9179 3.4794 Co
1.8063 9.0871 8.4808 Co
1.8063 7.2591 5.1523 Co
1.8063 0.0000 0.1716 Co
0.0000 0.0000 3.5521 Co
0.0000 8.2485 6.8079 Co
1.8063 5.1692 1.9084 Co
1.8063 3.4445 11.8949 Co
0.0000 5.1692 11.7886 Co
1.8063 1.2514 8.4808 Co
0.0000 0.0000 10.0518 Co
0.0000 2.0899 6.8079 Co
1.8063 6.8939 11.8949 Co
1.8063 3.0793 5.1523 Co
1.8063 5.1692 8.4081 Co
0.0000 6.4206 3.4794 Co
1.8063 7.1153 7.3735 P
0.0000 1.9461 4.5867 P
1.8063 1.5777 10.6694 P
0.0000 8.3924 4.5867 P
0.0000 0.0000 7.8269 P
1.8063 8.7607 10.6694 P
0.0000 0.0000 1.4128 P
1.8063 5.1692 10.5474 P
1.8063 5.1692 4.1333 P
1.8063 3.2231 7.3735 P
0.0000 6.7469 1.2908 P
0.0000 3.5915 1.2908 P
```

## Properties
space group = Pmmn (59)


Record 2
A plane-wave DFT calculation with PBEsol was carried out for a relaxed CrCuRu2 crystal.

```
CrCuRu2
1.0
2.8051 0.0000 0.0000
0.0000 4.1772 0.0000
0.0000 0.0000 4.4007
Cr Ru Cu
1 2 1
Cartesian
1.4025 2.0886 0.0000 Cr
0.0000 0.0000 0.0000 Ru
1.4025 0.0000 2.2003 Ru
0.0000 2.0886 2.2003 Cu
```

## Properties
space group = Pmmm (47)


no.,energy of formation from the pure elements (eV per atom)
1,-1.047
2,0.451